{
  "formula": "V2RuPbO8",
  "functional": "PBE+U",
  "state": "optimized geometry",
  "space_group": "P-3m1, No. 164",
  "total_energy_ev_per_atom": -7.10,
  "lattice_angstrom": [[5.612, 0.000, 0.000], [-2.806, 4.860, 0.000], [0.000, 0.000, 6.804]],
  "species": ["O", "O", "O", "Pb", "O", "O", "O", "V", "O", "Ru", "O", "V"],
  "frac_coords": [[0.333, 0.667, 0.002], [0.841, 0.160, 0.321], [0.840, 0.681, 0.321], [0.000, 0.000, 0.000], [0.667, 0.333, 0.998], [0.319, 0.159, 0.321], [0.159, 0.840, 0.679], [0.333, 0.667, 0.756], [0.160, 0.319, 0.679], [0.000, 0.000, 0.500], [0.681, 0.841, 0.679], [0.667, 0.333, 0.244]]
}